[1]
## Pm3GaGe3 (GGA-PBE)

Data for crystalline Pm3GaGe3 at its relaxed geometry.

Unit cell a=4.0769 b=4.3909 c=9.7605 alpha=103.00 beta=102.05 gamma=90.00
Element x y z (fractional)
Ga (0.4321, 0.4321, 0.8642)
Ge (0.8501, 0.3501, 0.7001)
Ge (0.1530, 0.6530, 0.3060)
Ge (0.5649, 0.5649, 0.1299)
Pm (0.0014, 0.0014, 0.0028)
Pm (0.6824, 0.1824, 0.3648)
Pm (0.3161, 0.8161, 0.6323)

Summary:
* crystal system: orthorhombic
* size of the total moment: 0.000 μB per cell
* formation energy: -0.780 eV/atom
* N(E_F): 3.55 states/eV per cell
* space group: No. 44


[2]
## Pm3Ga3Ge2 (GGA-PBE)

Data for crystalline Pm3Ga3Ge2 at its relaxed geometry.

Unit cell a=4.1455 b=6.0177 c=15.8085 alpha=90.00 beta=90.00 gamma=110.15
Element x y z (fractional)
Pm (0.8562, 0.7124, 0.0910)
Pm (0.1438, 0.2876, 0.5910)
Pm (0.4299, 0.8597, 0.7500)
Pm (0.5701, 0.1403, 0.2500)
Pm (0.8562, 0.7124, 0.4090)
Pm (0.1438, 0.2876, 0.9090)
Ga (0.6932, 0.3864, 0.7500)
Ga (0.4335, 0.8669, 0.5589)
Ga (0.5665, 0.1331, 0.0589)
Ga (0.5665, 0.1331, 0.4411)
Ga (0.3068, 0.6136, 0.2500)
Ga (0.4335, 0.8669, 0.9411)
Ge (0.8454, 0.6907, 0.8799)
Ge (0.1546, 0.3093, 0.3799)
Ge (0.1546, 0.3093, 0.1201)
Ge (0.8454, 0.6907, 0.6201)

Summary:
* crystal system: orthorhombic
* size of the total moment: 0.000 μB per cell
* energy relative to the lowest polymorph listed for this composition: 0.00 kcal/mol of atoms
* formation energy: -0.697 eV/atom
* N(E_F): 6.01 states/eV per cell
* space group: No. 63


[3]
## Pm4Ga12Ge (GGA-PBE)

Data for crystalline Pm4Ga12Ge at its relaxed geometry.

Unit cell a=7.6990 b=7.6990 c=7.6990 alpha=109.47 beta=109.47 gamma=109.47
Element x y z (fractional)
Pm (0.5000, 0.5000, 0.5000)
Pm (0.5000, 0.0000, 0.0000)
Pm (0.0000, 0.5000, 0.0000)
Pm (0.0000, 0.0000, 0.5000)
Ga (0.7500, 0.5000, 0.2500)
Ga (0.0000, 0.6904, 0.6904)
Ga (0.3096, 0.0000, 0.3096)
Ga (0.3096, 0.3096, 0.0000)
Ga (0.2500, 0.7500, 0.5000)
Ga (0.5000, 0.7500, 0.2500)
Ga (0.5000, 0.2500, 0.7500)
Ga (0.0000, 0.3096, 0.3096)
Ga (0.6904, 0.0000, 0.6904)
Ga (0.2500, 0.5000, 0.7500)
Ga (0.6904, 0.6904, 0.0000)
Ga (0.7500, 0.2500, 0.5000)
Ge (0.0000, 0.0000, 0.0000)

Summary:
* crystal system: cubic
* size of the total moment: 0.000 μB per cell
* formation energy: -0.493 eV/atom
* N(E_F): 7.98 states/eV per cell
* space group: No. 229


[4]
## Pm2Ga3Ge (GGA-PBE)

Data for crystalline Pm2Ga3Ge at its relaxed geometry.

Unit cell a=4.2336 b=4.2430 c=7.3482 alpha=90.00 beta=90.00 gamma=90.00
Element x y z (fractional)
Ga (0.5000, 0.0000, 0.8301)
Ga (0.5000, 0.5000, 0.6713)
Ga (0.5000, 0.0000, 0.1616)
Ge (0.5000, 0.5000, 0.3365)
Pm (0.0000, 0.5000, 0.0036)
Pm (0.0000, 0.0000, 0.4968)

Summary:
* crystal system: orthorhombic
* size of the total moment: 0.000 μB per cell
* formation energy: -0.711 eV/atom
* N(E_F): 1.71 states/eV per cell
* space group: No. 25


[5]
## Pm6Ga2Ge (GGA-PBE)

Data for crystalline Pm6Ga2Ge at its relaxed geometry.

Unit cell a=8.7468 b=8.7468 c=8.7468 alpha=106.53 beta=110.90 gamma=111.03
Element x y z (fractional)
Ga (0.3572, 0.0000, 0.3572)
Ga (0.5000, 0.6220, 0.1220)
Ga (0.6428, 0.0000, 0.6428)
Ga (0.5000, 0.3780, 0.8780)
Pm (0.1985, 0.7461, 0.9446)
Pm (0.0891, 0.2639, 0.8252)
Pm (0.1985, 0.2539, 0.4524)
Pm (0.9109, 0.7361, 0.1748)
Pm (0.8015, 0.2539, 0.0554)
Pm (0.7094, 0.0385, 0.3290)
Pm (0.5614, 0.7361, 0.8252)
Pm (0.2906, 0.9615, 0.6710)
Pm (0.7094, 0.3804, 0.6710)
Pm (0.8015, 0.7461, 0.5476)
Pm (0.4386, 0.2639, 0.1748)
Pm (0.2906, 0.6196, 0.3290)
Ge (0.0000, 0.5000, 0.5000)
Ge (0.0000, 0.0000, 0.0000)

Summary:
* crystal system: orthorhombic
* size of the total moment: 0.000 μB per cell
* energy relative to the lowest polymorph listed for this composition: 0.85 kcal/mol of atoms
* formation energy: -0.426 eV/atom
* N(E_F): 16.38 states/eV per cell
* space group: No. 71


[6]
## Pm3Ga4Ge4 (GGA-PBE)

Data for crystalline Pm3Ga4Ge4 at its relaxed geometry.

Unit cell a=4.5168 b=4.3610 c=12.6137 alpha=99.95 beta=100.31 gamma=90.00
Element x y z (fractional)
Ge (0.0954, 0.5954, 0.1908)
Ge (0.7475, 0.7475, 0.4950)
Ge (0.2525, 0.2525, 0.5050)
Ge (0.9046, 0.4046, 0.8092)
Ga (0.1960, 0.6960, 0.3920)
Ga (0.8040, 0.3040, 0.6080)
Ga (0.5499, 0.5499, 0.0997)
Ga (0.4501, 0.4501, 0.9003)
Pm (0.0000, 0.0000, 0.0000)
Pm (0.3551, 0.8551, 0.7102)
Pm (0.6449, 0.1449, 0.2898)

Summary:
* crystal system: orthorhombic
* size of the total moment: 0.000 μB per cell
* formation energy: -0.460 eV/atom
* N(E_F): 3.69 states/eV per cell
* space group: No. 71


[7]
## Pm2GaGe4 (GGA-PBE)

Data for crystalline Pm2GaGe4 at its relaxed geometry.

Unit cell a=6.2227 b=6.2227 c=5.9291 alpha=118.38 beta=118.38 gamma=95.41
Element x y z (fractional)
Pm (0.7273, 0.2727, 0.5000)
Pm (0.2273, 0.7727, 0.5000)
Ge (0.7102, 0.7670, 0.0000)
Ge (0.2330, 0.2898, 0.0000)
Ge (0.2377, 0.2915, 0.5292)
Ge (0.7085, 0.7623, 0.4708)
Ga (0.1560, 0.8440, 0.0000)

Summary:
* crystal system: orthorhombic
* size of the total moment: 0.000 μB per cell
* formation energy: -0.447 eV/atom
* N(E_F): 3.42 states/eV per cell
* space group: No. 42


[8]
## Pm8Ga2Ge (GGA-PBE)

Data for crystalline Pm8Ga2Ge at its relaxed geometry.

Unit cell a=5.0664 b=6.8407 c=9.8711 alpha=101.98 beta=104.87 gamma=90.00
Element x y z (fractional)
Pm (0.5911, 0.4572, 0.1822)
Pm (0.0243, 0.7722, 0.0487)
Pm (0.2092, 0.3188, 0.4183)
Pm (0.3417, 0.0201, 0.6833)
Pm (0.6583, 0.9799, 0.3167)
Pm (0.7908, 0.6812, 0.5817)
Pm (0.9757, 0.2278, 0.9513)
Pm (0.4089, 0.5428, 0.8178)
Ga (0.8137, 0.2468, 0.6274)
Ga (0.1863, 0.7532, 0.3726)
Ge (0.5000, 0.0000, 0.0000)

Summary:
* crystal system: monoclinic
* size of the total moment: 0.000 μB per cell
* formation energy: -0.333 eV/atom
* N(E_F): 10.93 states/eV per cell
* space group: No. 12


[9]
## Pm5Ga2Ge4 (GGA-PBE)

Data for crystalline Pm5Ga2Ge4 at its relaxed geometry.

Unit cell a=4.2579 b=7.3279 c=10.9138 alpha=117.83 beta=101.25 gamma=90.00
Element x y z (fractional)
Ga (0.4185, 0.4871, 0.8371)
Ga (0.5815, 0.5129, 0.1629)
Pm (0.8363, 0.6184, 0.6726)
Pm (0.5000, 0.0000, 0.0000)
Pm (0.1637, 0.3816, 0.3274)
Pm (0.8473, 0.1249, 0.6946)
Pm (0.1527, 0.8751, 0.3054)
Ge (0.9885, 0.6703, 0.9770)
Ge (0.0115, 0.3297, 0.0230)
Ge (0.2838, 0.2819, 0.5676)
Ge (0.7162, 0.7181, 0.4324)

Summary:
* crystal system: monoclinic
* size of the total moment: 0.000 μB per cell
* formation energy: -0.461 eV/atom
* N(E_F): 8.21 states/eV per cell
* space group: No. 12


[10]
## Pm3GaGe2 (GGA-PBE)

Data for crystalline Pm3GaGe2 at its relaxed geometry.

Unit cell a=6.1728 b=6.5597 c=8.2918 alpha=105.11 beta=111.85 gamma=90.00
Element x y z (fractional)
Pm (0.3321, 0.7500, 0.0000)
Pm (0.0666, 0.6300, 0.3595)
Pm (0.9334, 0.3700, 0.6405)
Pm (0.2929, 0.1300, 0.3595)
Pm (0.7071, 0.8700, 0.6405)
Pm (0.6679, 0.2500, 0.0000)
Ge (0.5411, 0.5235, 0.2983)
Ge (0.7573, 0.0235, 0.2983)
Ge (0.4589, 0.4765, 0.7017)
Ge (0.2427, 0.9765, 0.7017)
Ga (0.1633, 0.2500, 0.0000)
Ga (0.8367, 0.7500, 0.0000)

Summary:
* crystal system: monoclinic
* size of the total moment: 0.000 μB per cell
* energy relative to the lowest polymorph listed for this composition: 3.62 kcal/mol of atoms
* formation energy: -0.589 eV/atom
* N(E_F): 7.13 states/eV per cell
* space group: No. 15


[11]
## Pm8GaGe2 (GGA-PBE)

Data for crystalline Pm8GaGe2 at its relaxed geometry.

Unit cell a=4.9892 b=6.8619 c=9.9179 alpha=102.17 beta=104.57 gamma=90.00
Element x y z (fractional)
Pm (0.3385, 0.0030, 0.6769)
Pm (0.4082, 0.5270, 0.8164)
Pm (0.6615, 0.9970, 0.3231)
Pm (0.7879, 0.6663, 0.5759)
Pm (0.0242, 0.7752, 0.0484)
Pm (0.9758, 0.2248, 0.9516)
Pm (0.5918, 0.4730, 0.1836)
Pm (0.2121, 0.3337, 0.4241)
Ge (0.8168, 0.2413, 0.6335)
Ge (0.1832, 0.7587, 0.3665)
Ga (0.5000, 0.0000, 0.0000)

Summary:
* crystal system: monoclinic
* size of the total moment: 0.000 μB per cell
* formation energy: -0.377 eV/atom
* N(E_F): 11.68 states/eV per cell
* space group: No. 12


[12]
## Pm4Ga3Ge (GGA-PBE)

Data for crystalline Pm4Ga3Ge at its relaxed geometry.

Unit cell a=4.4606 b=4.1043 c=11.2163 alpha=90.00 beta=90.00 gamma=90.00
Element x y z (fractional)
Pm (0.5000, 0.0000, 0.6408)
Pm (0.0000, 0.0000, 0.1394)
Pm (0.0000, 0.5000, 0.8602)
Pm (0.5000, 0.5000, 0.3592)
Ge (0.5000, 0.5000, 0.0759)
Ga (0.0000, 0.0000, 0.4246)
Ga (0.5000, 0.0000, 0.9268)
Ga (0.0000, 0.5000, 0.5731)

Summary:
* crystal system: orthorhombic
* size of the total moment: 0.633 μB per cell
* formation energy: -0.686 eV/atom
* N(E_F): 7.12 states/eV per cell
* space group: No. 25


Question: Which formula does entry 11 have?
Answer: Pm8GaGe2


Question: N(E_F) of number 2 (Pm3Ga3Ge2)?
Answer: 6.01 states/eV per cell


Question: The highest size of the total moment belongs to which entry?
Answer: Pm4Ga3Ge


What did the tenth record say?
## Pm3GaGe2 (GGA-PBE)

Data for crystalline Pm3GaGe2 at its relaxed geometry.

Unit cell a=6.1728 b=6.5597 c=8.2918 alpha=105.11 beta=111.85 gamma=90.00
Element x y z (fractional)
Pm (0.3321, 0.7500, 0.0000)
Pm (0.0666, 0.6300, 0.3595)
Pm (0.9334, 0.3700, 0.6405)
Pm (0.2929, 0.1300, 0.3595)
Pm (0.7071, 0.8700, 0.6405)
Pm (0.6679, 0.2500, 0.0000)
Ge (0.5411, 0.5235, 0.2983)
Ge (0.7573, 0.0235, 0.2983)
Ge (0.4589, 0.4765, 0.7017)
Ge (0.2427, 0.9765, 0.7017)
Ga (0.1633, 0.2500, 0.0000)
Ga (0.8367, 0.7500, 0.0000)

Summary:
* crystal system: monoclinic
* size of the total moment: 0.000 μB per cell
* energy relative to the lowest polymorph listed for this composition: 3.62 kcal/mol of atoms
* formation energy: -0.589 eV/atom
* N(E_F): 7.13 states/eV per cell
* space group: No. 15